(1)
The following is a DFT calculation (PBE) of a relaxed structure of PdPb4Au.

Space-group type ... C2/c, No. 15
N(E_F) ... 6.40 states/eV per cell
Energy of formation ... -0.74 eV/f.u.
Total magnetic moment ... 0.00 μB per formula unit

Structure (POSCAR):
```
PdPb4Au
1.0
4.477 -6.613 0.000
4.477 6.613 0.000
-2.898 0.000 5.385
Pd Pb Au
2 8 2
Direct
0.007 0.993 0.750
0.993 0.007 0.250
0.053 0.700 0.405
0.229 0.369 0.202
0.300 0.947 0.095
0.369 0.229 0.702
0.631 0.771 0.298
0.700 0.053 0.905
0.771 0.631 0.798
0.947 0.300 0.595
0.366 0.634 0.750
0.634 0.366 0.250
```

(2)
The following is a DFT calculation (PBE) of a relaxed structure of LiZr2Sn.

Space-group type ... I-42d, No. 122
N(E_F) ... 4.83 states/eV per cell
Energy of formation ... 0.31 eV/f.u.
Total magnetic moment ... 0.00 μB per formula unit

Structure (POSCAR):
```
LiZr2Sn
1.0
-3.944 3.944 2.771
3.944 -3.944 2.771
3.944 3.944 -2.771
Li Zr Sn
2 4 2
Direct
0.000 0.000 0.000
0.750 0.250 0.500
0.117 0.625 0.992
0.375 0.367 0.492
0.633 0.125 0.008
0.875 0.883 0.508
0.250 0.750 0.500
0.500 0.500 0.000
```

(3)
The following is a DFT calculation (PBE) of a relaxed structure of Y2MnAgPd.

Space-group type ... P4/mmm, No. 123
N(E_F) ... 4.84 states/eV per cell
Energy of formation ... 1.86 eV/f.u.
Total magnetic moment ... 1.91 μB per formula unit

Structure (POSCAR):
```
Y2MnAgPd
1.0
5.108 0.000 0.000
0.000 5.108 0.000
0.000 0.000 4.727
Y Mn Ag Pd
2 1 1 1
Direct
0.000 0.500 0.000
0.500 0.000 0.000
0.000 0.000 0.000
0.000 0.000 0.500
0.500 0.500 0.500
```